First-principles (GGA-PBE) data for BaRe2Br after structural relaxation, as listed in the Alexandria database.

abc: 6.895 6.895 6.895
angles: 90.00 90.00 90.00
Atoms (fractional coordinates):
Ba 0.000 0.000 0.000
Ba 0.000 0.500 0.500
Ba 0.500 0.000 0.500
Ba 0.500 0.500 0.000
Re 0.250 0.250 0.250
Re 0.250 0.250 0.750
Re 0.250 0.750 0.250
Re 0.250 0.750 0.750
Re 0.750 0.250 0.250
Re 0.750 0.250 0.750
Re 0.750 0.750 0.250
Re 0.750 0.750 0.750
Br 0.000 0.000 0.500
Br 0.000 0.500 0.000
Br 0.500 0.000 0.000
Br 0.500 0.500 0.500

## Properties
Space group   Fm-3m, No. 225
E   -78.89 eV/cell
Energy relative to the elements, uncorrected   846 kJ/mol of formula units

---

First-principles (GGA-PBE) data for YHoMnOs after structural relaxation, as listed in the Alexandria database.

abc: 6.932 6.932 6.932
angles: 90.00 90.00 90.00
Atoms (fractional coordinates):
Y 0.000 0.000 0.000
Y 0.000 0.500 0.500
Y 0.500 0.000 0.500
Y 0.500 0.500 0.000
Ho 0.000 0.000 0.500
Ho 0.000 0.500 0.000
Ho 0.500 0.000 0.000
Ho 0.500 0.500 0.500
Mn 0.250 0.250 0.750
Mn 0.250 0.750 0.250
Mn 0.750 0.250 0.250
Mn 0.750 0.750 0.750
Os 0.250 0.250 0.250
Os 0.250 0.750 0.750
Os 0.750 0.250 0.750
Os 0.750 0.750 0.250

## Properties
Space group   F-43m, No. 216
E   -125.77 eV/cell
Calculated formation energy   -0.0002 eV per atom

---

First-principles (GGA-PBE) data for YCu2AgO after structural relaxation, as listed in the Alexandria database.

abc: 4.511 4.511 5.656
angles: 90.00 90.00 90.00
Atoms (fractional coordinates):
Y 0.000 0.000 0.000
Cu 0.000 0.500 0.500
Cu 0.500 0.000 0.500
Ag 0.000 0.000 0.500
O 0.500 0.500 0.000

## Properties
Space group   P4/mmm, No. 123
E   -19.41 eV/cell
Energy relative to the elements, uncorrected   295 kJ/mol of formula units

---

First-principles (GGA-PBE) data for LaCuOsI2 after structural relaxation, as listed in the Alexandria database.

abc: 6.219 6.219 5.637
angles: 90.00 90.00 90.00
Atoms (fractional coordinates):
La 0.000 0.000 0.000
Cu 0.000 0.000 0.500
Os 0.500 0.500 0.500
I 0.000 0.500 0.000
I 0.500 0.000 0.000

## Properties
Space group   P4/mmm, No. 123
E   -17.49 eV/cell
Energy relative to the elements, uncorrected   565 kJ/mol of formula units

---

Calculated values (μB/atom) of magnetic moment for the records, taken in order: 0.00 0.91 0.00 0.80.
Calculated values (g/cm3) of density for the records, taken in order: 11.95 9.95 4.90 4.92.